The following is a DFT calculation (GGA-PBE) of a relaxed Na2HgPt2 crystal.

Cell lengths 3.7793, 3.7793, 14.1004 Å; angles 90.00, 90.00, 90.00 degrees
Closest atoms and distances in Å follow each position.
Fractional coordinates of all 10 atoms:
1 Na 0.0000 0.5000 0.2500  4 Na 2.67, 4 Pt 2.90
2 Na 0.0000 0.5000 0.7500  4 Na 2.67, 4 Pt 2.90
3 Na 0.5000 0.0000 0.2500  4 Na 2.67, 4 Pt 2.90
4 Na 0.5000 0.0000 0.7500  4 Na 2.67, 4 Pt 2.90
5 Hg 0.0000 0.0000 0.0000  8 Pt 2.98
6 Hg 0.5000 0.5000 0.5000  8 Pt 2.98
7 Pt 0.0000 0.0000 0.4059  1 Pt 2.66, 4 Na 2.90
8 Pt 0.0000 0.0000 0.5941  1 Pt 2.66, 4 Na 2.90
9 Pt 0.5000 0.5000 0.0941  1 Pt 2.66, 4 Na 2.90
10 Pt 0.5000 0.5000 0.9059  1 Pt 2.66, 4 Na 2.90

Calculated values
* ΔE to the lowest computed polymorph: 438 meV per atom
* total magnetization: 0.0 μB/cell
* space-group type: I4/mmm
* V: 20.1 Å³ per atom
* ΔE_f: 271 meV/atom